Computed, not measured: a relaxed structure of Er6Mg2Os at the PBE level of DFT.

Summary:
- DFT formation energy: -86 meV/atom
- E above lowest polymorph: 0.00 kJ per mole of atoms
- Density: 8.35 g cm⁻³

a b c (Å): 3.7655 14.9907 8.7496
angles (deg): 90.00 90.00 90.00
With the nearest neighbours (Å) after each atom.
Space group Amm2 (No. 38)
Asymmetric unit:
Er1 0.0000 0.0000 0.0000 (multiplicity 2)  2 Os 2.81
Er2 0.0000 0.1191 0.6333 (multiplicity 4)  2 Os 2.83
Er3 0.5000 0.0000 0.3717 (multiplicity 2)  4 Mg 3.30, 1 Os 3.41, 4 Er 3.46
Er4 0.5000 0.1887 0.9437 (multiplicity 4)  1 Os 3.25, 4 Mg 3.31-3.33, 4 Er 3.43-3.47
Mg1 0.0000 0.1673 0.2548 (multiplicity 4)  9 Er 3.30-3.39
Os1 0.5000 0.0000 0.7618 (multiplicity 2)  6 Er 2.81-2.83